No. 1
ErZnIn after structural relaxation. Source: OQMD via LeMat-Bulk, functional PBE. Values from VASP.

Quantum ESPRESSO input file:
```
&SYSTEM
  ibrav = 0, nat = 6, ntyp = 3
/
ATOMIC_SPECIES
Er 167.26 Er.upf
In 114.82 In.upf
Zn 65.41 Zn.upf
ATOMIC_POSITIONS angstrom
Er -1.547 -0.681 0.386
In -6.961 -2.509 -1.006
Zn -4.259 -1.320 -1.680
Er -4.772 -2.102 1.192
In -2.540 -3.324 -0.961
Zn 0.162 -2.134 -1.636
CELL_PARAMETERS angstrom
-1.937 2.465 -3.409
1.653 -4.240 -0.859
-6.450 -2.840 1.610
```

Calculated values
VASP energy ... -0.24265 Ry/atom
SG ... P6_3mc (186)

=====

No. 2
YCoHgBi after structural relaxation. Source: OQMD via LeMat-Bulk, functional PBE. Values from VASP.

Quantum ESPRESSO input file:
```
&SYSTEM
  ibrav = 0, nat = 4, ntyp = 4
/
ATOMIC_SPECIES
Bi 208.98 Bi.upf
Y 88.91 Y.upf
Hg 200.59 Hg.upf
Co 58.93 Co.upf
ATOMIC_POSITIONS angstrom
Bi 0.000 0.000 0.000
Y -4.886 3.072 -2.108
Hg -2.443 1.536 -1.054
Co -7.329 4.609 -3.161
CELL_PARAMETERS angstrom
-4.185 -0.346 -2.745
-4.085 2.598 1.316
-1.502 3.893 -2.786
```

Calculated values
VASP energy ... -0.32632 Ry/atom
SG ... F-43m (216)
Energy above the most stable polymorph in this dataset ... 24 meV per atom

=====

No. 3
GdTlZnTe3 after structural relaxation. Source: OQMD via LeMat-Bulk, functional PBE. Values from VASP.

Quantum ESPRESSO input file:
```
&SYSTEM
  ibrav = 0, nat = 24, ntyp = 4
/
ATOMIC_SPECIES
Te 127.60 Te.upf
Zn 65.41 Zn.upf
Tl 204.38 Tl.upf
Gd 157.25 Gd.upf
ATOMIC_POSITIONS angstrom
Te 6.684 1.095 9.538
Zn 8.835 1.095 11.118
Te 10.821 3.286 1.763
Te 8.844 3.286 12.794
Tl 2.751 1.095 7.676
Te 8.662 1.095 5.019
Zn 8.670 3.286 3.343
Te 6.460 3.286 1.831
Te 3.009 3.286 10.530
Zn 2.835 3.286 4.431
Te 0.625 3.286 5.943
Tl 8.587 1.095 0.098
Te 4.986 3.286 6.011
Te 11.045 1.095 9.606
Gd 11.563 1.095 3.847
Tl 3.084 3.286 15.451
Gd 5.943 3.286 11.622
Te 2.826 1.095 2.755
Zn 3.000 1.095 12.206
Te 0.849 1.095 13.786
Gd 5.728 1.095 3.927
Te 5.210 1.095 13.718
Gd 0.107 3.286 11.702
Tl 8.919 3.286 7.873
CELL_PARAMETERS angstrom
11.670 0.000 0.000
0.000 4.382 0.000
0.000 0.000 15.549
```

Calculated values
VASP energy ... -0.27891 Ry/atom
SG ... Pnma (62)
Energy above the most stable polymorph in this dataset ... 0 meV per atom

=====

No. 4
Cu7Ag3 after structural relaxation. Source: OQMD via LeMat-Bulk, functional PBE. Values from VASP.

Quantum ESPRESSO input file:
```
&SYSTEM
  ibrav = 0, nat = 10, ntyp = 2
/
ATOMIC_SPECIES
Cu 63.55 Cu.upf
Ag 107.87 Ag.upf
ATOMIC_POSITIONS angstrom
Cu -3.441 1.937 -1.842
Cu -1.202 -1.147 -0.947
Ag -1.037 -3.012 1.102
Ag -3.361 0.190 0.174
Cu 3.040 -6.992 0.749
Cu 1.036 -4.232 -0.052
Cu -5.445 4.698 -2.642
Ag -0.997 -0.264 1.585
Cu 0.998 -5.816 1.916
Cu -5.396 2.994 -0.640
CELL_PARAMETERS angstrom
-6.634 6.337 -3.118
4.230 -8.632 1.224
-1.993 -0.527 3.170
```

Calculated values
VASP energy ... -0.24784 Ry/atom
SG ... Cmmm (65)
Energy of formation ... 0.08 eV/atom
Energy above the most stable polymorph in this dataset ... 32 meV per atom

=====

No. 5
UTeIr after structural relaxation. Source: OQMD via LeMat-Bulk, functional PBE. Values from VASP.

Quantum ESPRESSO input file:
```
&SYSTEM
  ibrav = 0, nat = 3, ntyp = 3
/
ATOMIC_SPECIES
Te 127.60 Te.upf
Ir 192.22 Ir.upf
U 238.03 U.upf
ATOMIC_POSITIONS angstrom
Te 1.658 1.658 1.658
Ir 3.316 3.316 3.316
U 0.000 0.000 0.000
CELL_PARAMETERS angstrom
0.000 3.316 3.316
3.316 0.000 3.316
3.316 3.316 0.000
```

Calculated values
VASP energy ... -0.54394 Ry/atom
SG ... F-43m (216)
Energy above the most stable polymorph in this dataset ... 263 meV per atom

=====

No. 6
Rb2CdHg3 after structural relaxation. Source: OQMD via LeMat-Bulk, functional PBE. Values from VASP.

Quantum ESPRESSO input file:
```
&SYSTEM
  ibrav = 0, nat = 6, ntyp = 3
/
ATOMIC_SPECIES
Cd 112.41 Cd.upf
Rb 85.47 Rb.upf
Hg 200.59 Hg.upf
ATOMIC_POSITIONS angstrom
Cd -7.119 -4.628 0.351
Rb -1.038 -5.023 2.188
Hg -4.637 -5.959 1.675
Rb -3.954 -2.375 0.099
Hg -0.405 -1.468 0.612
Hg 2.230 -2.749 1.953
CELL_PARAMETERS angstrom
-6.573 -0.744 1.688
-5.300 -3.060 -3.026
6.900 -3.597 3.631
```

Calculated values
VASP energy ... -0.06138 Ry/atom
SG ... Cm (8)

=====

No. 7
Li2MgZrIn2Pd2 after structural relaxation. Source: OQMD via LeMat-Bulk, functional PBE. Values from VASP.

Quantum ESPRESSO input file:
```
&SYSTEM
  ibrav = 0, nat = 8, ntyp = 5
/
ATOMIC_SPECIES
In 114.82 In.upf
Mg 24.30 Mg.upf
Li 6.94 Li.upf
Pd 106.42 Pd.upf
Zr 91.22 Zr.upf
ATOMIC_POSITIONS angstrom
In 0.000 0.000 0.000
Mg 0.978 -2.984 -0.927
Li 0.493 -3.061 4.592
Pd -0.501 -2.411 1.451
Zr 0.967 -0.633 3.059
In 1.946 -3.617 2.133
Pd 3.414 -1.839 3.741
Li 2.420 -1.189 0.600
CELL_PARAMETERS angstrom
-1.992 -4.173 -0.233
3.949 -1.795 -1.620
1.935 -1.265 6.118
```

Calculated values
VASP energy ... -0.31158 Ry/atom
SG ... P-4m2 (115)

=====

No. 8
HfSi2Ge after structural relaxation. Source: OQMD via LeMat-Bulk, functional PBE. Values from VASP.

Quantum ESPRESSO input file:
```
&SYSTEM
  ibrav = 0, nat = 4, ntyp = 3
/
ATOMIC_SPECIES
Ge 72.64 Ge.upf
Si 28.09 Si.upf
Hf 178.49 Hf.upf
ATOMIC_POSITIONS angstrom
Ge 3.281 3.281 3.281
Si 0.000 0.000 0.000
Si 4.922 4.922 4.922
Hf 1.641 1.641 1.641
CELL_PARAMETERS angstrom
0.000 3.281 3.281
3.281 0.000 3.281
3.281 3.281 0.000
```

Calculated values
VASP energy ... -0.44432 Ry/atom
SG ... F-43m (216)

=====

No. 9
FeCoTcPb after structural relaxation. Source: OQMD via LeMat-Bulk, functional PBE. Values from VASP.

Quantum ESPRESSO input file:
```
&SYSTEM
  ibrav = 0, nat = 4, ntyp = 4
/
ATOMIC_SPECIES
Pb 207.20 Pb.upf
Co 58.93 Co.upf
Fe 55.84 Fe.upf
Tc 98.00 Tc.upf
ATOMIC_POSITIONS angstrom
Pb 0.000 0.000 0.000
Co -3.781 4.143 5.862
Fe -2.521 2.762 3.908
Tc -1.260 1.381 1.954
CELL_PARAMETERS angstrom
-1.319 -0.104 4.214
0.068 3.689 2.427
-3.790 1.940 1.176
```

Calculated values
VASP energy ... -0.50571 Ry/atom
SG ... F-43m (216)
Energy above the most stable polymorph in this dataset ... 0 meV per atom

=====

No. 10
NdZn12 after structural relaxation. Source: OQMD via LeMat-Bulk, functional PBE. Values from VASP.

Quantum ESPRESSO input file:
```
&SYSTEM
  ibrav = 0, nat = 13, ntyp = 2
/
ATOMIC_SPECIES
Zn 65.41 Zn.upf
Nd 144.24 Nd.upf
ATOMIC_POSITIONS angstrom
Zn 2.322 0.330 2.241
Zn 2.534 -1.918 0.650
Zn -0.056 -3.115 0.517
Zn -0.398 0.520 3.089
Zn -0.722 0.942 5.602
Zn 0.965 -1.821 2.701
Nd 0.000 0.000 0.000
Zn 1.525 -2.552 -1.644
Zn -0.604 -1.724 4.753
Zn -1.604 -1.830 2.371
Zn 1.043 2.561 1.974
Zn -0.101 -5.648 0.937
Zn -0.392 -3.972 3.161
CELL_PARAMETERS angstrom
3.051 -5.104 -3.289
2.087 5.121 3.948
-3.208 -3.659 4.742
```

Calculated values
VASP energy ... -0.12706 Ry/atom
SG ... I4/mmm (139)
Energy of formation ... -0.19 eV/atom

=====

No. 11
NdNp2N3 after structural relaxation. Source: OQMD via LeMat-Bulk, functional PBE. Values from VASP.

Quantum ESPRESSO input file:
```
&SYSTEM
  ibrav = 0, nat = 6, ntyp = 3
/
ATOMIC_SPECIES
Np 237.00 Np.upf
N 14.01 N.upf
Nd 144.24 Nd.upf
ATOMIC_POSITIONS angstrom
Np 0.000 2.017 7.187
N 1.747 1.009 5.935
N 0.000 2.017 2.645
Nd 0.000 0.000 4.290
Np 1.747 1.009 1.393
N 0.000 0.000 0.000
CELL_PARAMETERS angstrom
3.494 0.000 0.000
-1.747 3.026 0.000
0.000 0.000 8.580
```

Calculated values
VASP energy ... -0.76990 Ry/atom
SG ... P-3m1 (164)

=====

No. 12
Li4MgZnPt2 after structural relaxation. Source: OQMD via LeMat-Bulk, functional PBE. Values from VASP.

Quantum ESPRESSO input file:
```
&SYSTEM
  ibrav = 0, nat = 8, ntyp = 4
/
ATOMIC_SPECIES
Pt 195.08 Pt.upf
Li 6.94 Li.upf
Mg 24.30 Mg.upf
Zn 65.41 Zn.upf
ATOMIC_POSITIONS angstrom
Pt -1.822 0.036 1.978
Pt -3.410 3.707 0.485
Li -2.248 1.332 -0.762
Li -2.985 2.411 3.224
Mg -2.778 -1.271 -0.169
Li -4.005 1.236 1.147
Li 0.000 0.000 0.000
Zn -1.227 2.507 1.316
CELL_PARAMETERS angstrom
-3.182 -0.019 -2.932
-2.374 -2.523 2.593
-2.454 5.014 2.632
```

Calculated values
VASP energy ... -0.24721 Ry/atom
SG ... P-4m2 (115)

=====

Q: Which value of VASP energy does entry 11 give?
A: -0.76990 Ry/atom

=====

Q: What is the formula in the seventh record?
A: Li2MgZrIn2Pd2

=====

Q: The lowest VASP energy belongs to which entry?
A: NdNp2N3

=====

Copy entry 5 word for word.
UTeIr after structural relaxation. Source: OQMD via LeMat-Bulk, functional PBE. Values from VASP.

Quantum ESPRESSO input file:
```
&SYSTEM
  ibrav = 0, nat = 3, ntyp = 3
/
ATOMIC_SPECIES
Te 127.60 Te.upf
Ir 192.22 Ir.upf
U 238.03 U.upf
ATOMIC_POSITIONS angstrom
Te 1.658 1.658 1.658
Ir 3.316 3.316 3.316
U 0.000 0.000 0.000
CELL_PARAMETERS angstrom
0.000 3.316 3.316
3.316 0.000 3.316
3.316 3.316 0.000
```

Calculated values
VASP energy ... -0.54394 Ry/atom
SG ... F-43m (216)
Energy above the most stable polymorph in this dataset ... 263 meV per atom